The following is a meta-GGA SCAN calculation of a PBEsol-optimized structure of Be2NiSe, from Alexandria.

Geometry as CIF:
```
data_Be2NiSe
_chemical_formula_sum 'Be4 Ni2 Se2'
_space_group_name_H-M_alt 'I -4 m 2'
_space_group_IT_number 119
_space_group_name_Hall 'I -4 -2'
_cell_length_a 3.3588
_cell_length_b 3.3588
_cell_length_c 7.9512
_cell_angle_alpha 90.00
_cell_angle_beta 90.00
_cell_angle_gamma 90.00
loop_
_atom_site_label
_atom_site_fract_x
_atom_site_fract_y
_atom_site_fract_z
_atom_site_occupancy
Be1 0.0000 0.0000 0.0000 1
Be2 0.0000 0.5000 0.2500 1
Ni1 0.0000 0.0000 0.5000 1
Se1 0.0000 0.5000 0.7500 1
```

## Properties
- E_form (uncorrected) (eV/atom) = 0.1783
- crystal system = tetragonal
- DOS(E_F) (states/eV/f.u.) = 0.93
- M_tot (μB per formula unit) = 0.000

=====

The following is a meta-GGA SCAN calculation of a PBEsol-optimized structure of BeNiSnSe2, from Alexandria.

Geometry as CIF:
```
data_BeNiSnSe2
_chemical_formula_sum 'Be1 Ni1 Sn1 Se2'
_space_group_name_H-M_alt 'P 4/m m m'
_space_group_IT_number 123
_space_group_name_Hall '-P 4 2'
_cell_length_a 5.2438
_cell_length_b 5.2438
_cell_length_c 4.6179
_cell_angle_alpha 90.00
_cell_angle_beta 90.00
_cell_angle_gamma 90.00
loop_
_atom_site_label
_atom_site_fract_x
_atom_site_fract_y
_atom_site_fract_z
_atom_site_occupancy
Be1 0.0000 0.0000 0.0000 1
Ni1 0.5000 0.5000 0.0000 1
Sn1 0.5000 0.5000 0.5000 1
Se1 0.0000 0.5000 0.5000 1
```

## Properties
- E_form (uncorrected) (eV/atom) = 1.1604
- crystal system = tetragonal
- DOS(E_F) (states/eV/f.u.) = 3.54
- M_tot (μB per formula unit) = 1.772

=====

The following is a meta-GGA SCAN calculation of a PBEsol-optimized structure of BeSiNi, from Alexandria.

Geometry as CIF:
```
data_BeSiNi
_chemical_formula_sum 'Be2 Si2 Ni2'
_space_group_name_H-M_alt 'I m m 2'
_space_group_IT_number 44
_cell_length_a 2.6846
_cell_length_b 3.2146
_cell_length_c 7.0075
_cell_angle_alpha 90.00
_cell_angle_beta 90.00
_cell_angle_gamma 90.00
loop_
_space_group_symop_operation_xyz
'x,y,z'
'-x,-y,z'
'-x,y,z'
'x,-y,z'
'x+1/2,y+1/2,z+1/2'
'-x+1/2,-y+1/2,z+1/2'
'-x+1/2,y+1/2,z+1/2'
'x+1/2,-y+1/2,z+1/2'
loop_
_atom_site_label
_atom_site_fract_x
_atom_site_fract_y
_atom_site_fract_z
_atom_site_occupancy
Be1 0.0000 0.0000 0.0000 1
Si1 0.0000 0.0000 0.3271 1
Ni1 0.0000 0.0000 0.6612 1
```

## Properties
- E_form (uncorrected) (eV/atom) = -0.3369
- crystal system = orthorhombic
- distance to the lowest polymorph of the same formula (meV per atom) = 0
- DOS(E_F) (states/eV/f.u.) = 0.86
- M_tot (μB per formula unit) = 0.001

=====

The following is a meta-GGA SCAN calculation of a PBEsol-optimized structure of BeSiNi, from Alexandria.

Geometry as CIF:
```
data_BeSiNi
_chemical_formula_sum 'Be2 Si2 Ni2'
_space_group_name_H-M_alt 'I 4 m m'
_space_group_IT_number 107
_space_group_name_Hall 'I 4 -2'
_cell_length_a 2.9370
_cell_length_b 2.9370
_cell_length_c 7.0490
_cell_angle_alpha 90.00
_cell_angle_beta 90.00
_cell_angle_gamma 90.00
loop_
_atom_site_label
_atom_site_fract_x
_atom_site_fract_y
_atom_site_fract_z
_atom_site_occupancy
Be1 0.0000 0.0000 0.0000 1
Si1 0.0000 0.0000 0.3258 1
Ni1 0.0000 0.0000 0.6593 1
```

## Properties
- E_form (uncorrected) (eV/atom) = -0.3323
- crystal system = tetragonal
- distance to the lowest polymorph of the same formula (meV per atom) = 5
- DOS(E_F) (states/eV/f.u.) = 0.78
- M_tot (μB per formula unit) = 0.000

=====

The following is a meta-GGA SCAN calculation of a PBEsol-optimized structure of BeSiNi2, from Alexandria.

Geometry as CIF:
```
data_BeSiNi2
_chemical_formula_sum 'Be4 Si4 Ni8'
_space_group_name_H-M_alt 'F m -3 m'
_space_group_IT_number 225
_space_group_name_Hall '-F 4 2 3'
_cell_length_a 5.3830
_cell_length_b 5.3830
_cell_length_c 5.3830
_cell_angle_alpha 90.00
_cell_angle_beta 90.00
_cell_angle_gamma 90.00
loop_
_atom_site_label
_atom_site_fract_x
_atom_site_fract_y
_atom_site_fract_z
_atom_site_occupancy
Be1 0.0000 0.0000 0.0000 1
Si1 0.0000 0.0000 0.5000 1
Ni1 0.2500 0.2500 0.2500 1
```

## Properties
- E_form (uncorrected) (eV/atom) = -0.5993
- crystal system = cubic
- distance to the lowest polymorph of the same formula (meV per atom) = 0
- DOS(E_F) (states/eV/f.u.) = 1.74
- M_tot (μB per formula unit) = 0.000

=====

The following is a meta-GGA SCAN calculation of a PBEsol-optimized structure of BeSiNi2, from Alexandria.

Geometry as CIF:
```
data_BeSiNi2
_chemical_formula_sum 'Be2 Si2 Ni4'
_space_group_name_H-M_alt 'C 1 m 1'
_space_group_IT_number 8
_cell_length_a 8.0963
_cell_length_b 2.6900
_cell_length_c 3.8113
_cell_angle_alpha 90.00
_cell_angle_beta 107.40
_cell_angle_gamma 90.00
loop_
_space_group_symop_operation_xyz
'x,y,z'
'x,-y,z'
'x+1/2,y+1/2,z'
'x+1/2,-y+1/2,z'
loop_
_atom_site_label
_atom_site_fract_x
_atom_site_fract_y
_atom_site_fract_z
_atom_site_occupancy
Be1 0.0000 0.0000 0.0000 1
Si1 0.2446 0.0000 0.6452 1
Ni1 0.0024 0.5000 0.4998 1
Ni2 0.2356 0.5000 0.1331 1
```

## Properties
- E_form (uncorrected) (eV/atom) = -0.5245
- crystal system = monoclinic
- distance to the lowest polymorph of the same formula (meV per atom) = 75
- DOS(E_F) (states/eV/f.u.) = 1.33
- M_tot (μB per formula unit) = 0.000

=====

The following is a meta-GGA SCAN calculation of a PBEsol-optimized structure of BeSiNi, from Alexandria.

Geometry as CIF:
```
data_BeSiNi
_chemical_formula_sum 'Be1 Si1 Ni1'
_space_group_name_H-M_alt 'P 3 m 1'
_space_group_IT_number 156
_cell_length_a 3.7813
_cell_length_b 3.7813
_cell_length_c 2.5228
_cell_angle_alpha 90.00
_cell_angle_beta 90.00
_cell_angle_gamma 120.00
loop_
_space_group_symop_operation_xyz
'x,y,z'
'-y,x-y,z'
'-x+y,-x,z'
'-y,-x,z'
'-x+y,y,z'
'x,x-y,z'
loop_
_atom_site_label
_atom_site_fract_x
_atom_site_fract_y
_atom_site_fract_z
_atom_site_occupancy
Be1 0.0000 0.0000 0.0000 1
Si1 0.6667 0.3333 0.6440 1
Ni1 0.3333 0.6667 0.3884 1
```

## Properties
- E_form (uncorrected) (eV/atom) = -0.1123
- crystal system = trigonal
- distance to the lowest polymorph of the same formula (meV per atom) = 225
- DOS(E_F) (states/eV/f.u.) = 0.86
- M_tot (μB per formula unit) = 0.002

=====

The following is a meta-GGA SCAN calculation of a PBEsol-optimized structure of BeSi2Ni, from Alexandria.

Geometry as CIF:
```
data_BeSi2Ni
_chemical_formula_sum 'Be1 Si2 Ni1'
_space_group_name_H-M_alt 'P m m m'
_space_group_IT_number 47
_cell_length_a 2.5672
_cell_length_b 3.4529
_cell_length_c 4.9740
_cell_angle_alpha 90.00
_cell_angle_beta 90.00
_cell_angle_gamma 90.00
loop_
_space_group_symop_operation_xyz
'x,y,z'
'-x,-y,-z'
'-x,-y,z'
'x,y,-z'
'x,-y,-z'
'-x,y,z'
'-x,y,-z'
'x,-y,z'
loop_
_atom_site_label
_atom_site_fract_x
_atom_site_fract_y
_atom_site_fract_z
_atom_site_occupancy
Be1 0.0000 0.0000 0.0000 1
Si1 0.5000 0.5000 0.2450 1
Ni1 0.0000 0.0000 0.5000 1
```

## Properties
- E_form (uncorrected) (eV/atom) = 0.0970
- crystal system = orthorhombic
- DOS(E_F) (states/eV/f.u.) = 1.44
- M_tot (μB per formula unit) = 0.000

=====

The following is a meta-GGA SCAN calculation of a PBEsol-optimized structure of BeSiNi2, from Alexandria.

Geometry as CIF:
```
data_BeSiNi2
_chemical_formula_sum 'Be2 Si2 Ni4'
_space_group_name_H-M_alt 'I -4 m 2'
_space_group_IT_number 119
_space_group_name_Hall 'I -4 -2'
_cell_length_a 3.2850
_cell_length_b 3.2850
_cell_length_c 7.2922
_cell_angle_alpha 90.00
_cell_angle_beta 90.00
_cell_angle_gamma 90.00
loop_
_atom_site_label
_atom_site_fract_x
_atom_site_fract_y
_atom_site_fract_z
_atom_site_occupancy
Be1 0.0000 0.0000 0.0000 1
Si1 0.0000 0.5000 0.7500 1
Ni1 0.0000 0.0000 0.5000 1
Ni2 0.0000 0.5000 0.2500 1
```

## Properties
- E_form (uncorrected) (eV/atom) = -0.5144
- crystal system = tetragonal
- distance to the lowest polymorph of the same formula (meV per atom) = 85
- DOS(E_F) (states/eV/f.u.) = 1.08
- M_tot (μB per formula unit) = 0.000

=====

The following is a meta-GGA SCAN calculation of a PBEsol-optimized structure of BeSiNi2, from Alexandria.

Geometry as CIF:
```
data_BeSiNi2
_chemical_formula_sum 'Be1 Si1 Ni2'
_space_group_name_H-M_alt 'P 4/m m m'
_space_group_IT_number 123
_space_group_name_Hall '-P 4 2'
_cell_length_a 2.7328
_cell_length_b 2.7328
_cell_length_c 5.2397
_cell_angle_alpha 90.00
_cell_angle_beta 90.00
_cell_angle_gamma 90.00
loop_
_atom_site_label
_atom_site_fract_x
_atom_site_fract_y
_atom_site_fract_z
_atom_site_occupancy
Be1 0.0000 0.0000 0.0000 1
Si1 0.0000 0.0000 0.5000 1
Ni1 0.5000 0.5000 0.2456 1
```

## Properties
- E_form (uncorrected) (eV/atom) = -0.5160
- crystal system = tetragonal
- distance to the lowest polymorph of the same formula (meV per atom) = 83
- DOS(E_F) (states/eV/f.u.) = 1.81
- M_tot (μB per formula unit) = 0.000

=====

The following is a meta-GGA SCAN calculation of a PBEsol-optimized structure of Ti2BeSiNi, from Alexandria.

Geometry as CIF:
```
data_Ti2BeSiNi
_chemical_formula_sum 'Ti2 Be1 Si1 Ni1'
_space_group_name_H-M_alt 'P 4/m m m'
_space_group_IT_number 123
_space_group_name_Hall '-P 4 2'
_cell_length_a 4.5424
_cell_length_b 4.5424
_cell_length_c 4.0789
_cell_angle_alpha 90.00
_cell_angle_beta 90.00
_cell_angle_gamma 90.00
loop_
_atom_site_label
_atom_site_fract_x
_atom_site_fract_y
_atom_site_fract_z
_atom_site_occupancy
Ti1 0.0000 0.5000 0.0000 1
Be1 0.0000 0.0000 0.5000 1
Si1 0.5000 0.5000 0.0000 1
Ni1 0.5000 0.5000 0.5000 1
```

## Properties
- E_form (uncorrected) (eV/atom) = 0.5423
- crystal system = tetragonal
- DOS(E_F) (states/eV/f.u.) = 4.85
- M_tot (μB per formula unit) = 0.000

=====

The following is a meta-GGA SCAN calculation of a PBEsol-optimized structure of BeNiSn3, from Alexandria.

Geometry as CIF:
```
data_BeNiSn3
_chemical_formula_sum 'Be1 Ni1 Sn3'
_space_group_name_H-M_alt 'P m -3 m'
_space_group_IT_number 221
_space_group_name_Hall '-P 4 2 3'
_cell_length_a 4.7436
_cell_length_b 4.7436
_cell_length_c 4.7436
_cell_angle_alpha 90.00
_cell_angle_beta 90.00
_cell_angle_gamma 90.00
loop_
_atom_site_label
_atom_site_fract_x
_atom_site_fract_y
_atom_site_fract_z
_atom_site_occupancy
Be1 0.0000 0.0000 0.0000 1
Ni1 0.5000 0.5000 0.5000 1
Sn1 0.0000 0.0000 0.5000 1
```

## Properties
- E_form (eV per atom) = 0.838
- crystal system = cubic
- distance to the lowest polymorph of the same formula (meV per atom) = 234
- DOS(E_F) (states/eV/f.u.) = 2.79
- M_tot (μB per formula unit) = 0.001